1.
Below is crystalline Cs2SbAsBr6 at its relaxed geometry, with properties calculated at the PBE level. Values from VASP.

DFT total energy = -0.1092 hartree per atom
Symmetry = I4/mmm (139)
E_form (uncorrected) = -9.2 eV per formula unit

The structure in Quantum ESPRESSO input format:
```
&SYSTEM
  ibrav = 0, nat = 10, ntyp = 4
/
ATOMIC_SPECIES
Cs 132.91 Cs.upf
Sb 121.76 Sb.upf
As 74.92 As.upf
Br 79.90 Br.upf
ATOMIC_POSITIONS angstrom
Cs 8.0077 4.0039 2.8618
Cs 4.0039 8.0077 2.8618
Sb 0.0000 0.0000 0.0000
As 4.0039 4.0039 0.0000
Br 4.0038 4.0038 2.8178
Br 8.0077 8.0077 2.9058
Br 2.0413 2.0413 0.0000
Br 5.9664 5.9664 0.0000
Br 5.9664 2.0413 0.0000
Br 2.0413 5.9664 0.0000
CELL_PARAMETERS angstrom
8.0077 0.0000 0.0000
0.0000 8.0077 0.0000
4.0039 4.0039 5.7235
```

=====

2.
Below is crystalline CsSbAsBr2 at its relaxed geometry, with properties calculated at the PBE level. Values from VASP.

DFT total energy = -0.1141 hartree per atom
Symmetry = P4/mmm (123)
E_form (uncorrected) = -2.5 eV per formula unit

The structure in Quantum ESPRESSO input format:
```
&SYSTEM
  ibrav = 0, nat = 5, ntyp = 4
/
ATOMIC_SPECIES
Cs 132.91 Cs.upf
Sb 121.76 Sb.upf
As 74.92 As.upf
Br 79.90 Br.upf
ATOMIC_POSITIONS angstrom
Cs -4.2532 1.9141 -1.7943
Sb 0.0000 0.0000 0.0000
As -2.2734 0.0926 1.4426
Br -1.5332 -0.9850 -2.3530
Br -0.4466 2.8066 -0.8839
CELL_PARAMETERS angstrom
-0.8932 5.6132 -1.7678
-3.0664 -1.9700 -4.7060
-4.5467 0.1851 2.8852
```

=====

3.
Below is crystalline CsSbAs2Br at its relaxed geometry, with properties calculated at the PBE level. Values from VASP.

DFT total energy = -0.0722 hartree per atom
Symmetry = P4/mmm (123)
E_form (uncorrected) = 6.1 eV per formula unit

The structure in Quantum ESPRESSO input format:
```
&SYSTEM
  ibrav = 0, nat = 5, ntyp = 4
/
ATOMIC_SPECIES
Cs 132.91 Cs.upf
Sb 121.76 Sb.upf
As 74.92 As.upf
Br 79.90 Br.upf
ATOMIC_POSITIONS angstrom
Cs 0.0000 0.0000 0.0000
Sb -5.0733 -1.5219 1.1498
As -1.6355 -2.1352 -1.5799
As -2.4816 1.8899 0.0146
Br -0.9562 -1.2766 2.7151
CELL_PARAMETERS angstrom
-4.9631 3.7799 0.0293
-3.2710 -4.2704 -3.1599
-1.9125 -2.5532 5.4302
```

=====

4.
Below is crystalline CsSbAs2Br at its relaxed geometry, with properties calculated at the PBE level. Values from VASP.

DFT total energy = -0.1192 hartree per atom
Symmetry = P4/mmm (123)
E_form (uncorrected) = -0.3 eV per formula unit

The structure in Quantum ESPRESSO input format:
```
&SYSTEM
  ibrav = 0, nat = 5, ntyp = 4
/
ATOMIC_SPECIES
Cs 132.91 Cs.upf
Sb 121.76 Sb.upf
As 74.92 As.upf
Br 79.90 Br.upf
ATOMIC_POSITIONS angstrom
Cs 2.6837 2.6837 3.1847
Sb 0.0000 0.0000 0.0000
As 0.0000 2.6837 0.0000
As 2.6837 0.0000 0.0000
Br 0.0000 0.0000 3.1847
CELL_PARAMETERS angstrom
5.3673 0.0000 0.0000
0.0000 5.3673 0.0000
0.0000 0.0000 6.3694
```

=====

> The lowest E_form (uncorrected) belongs to which entry?

Cs2SbAsBr6

=====

Repeat the second record exactly.
Below is crystalline CsSbAsBr2 at its relaxed geometry, with properties calculated at the PBE level. Values from VASP.

DFT total energy = -0.1141 hartree per atom
Symmetry = P4/mmm (123)
E_form (uncorrected) = -2.5 eV per formula unit

The structure in Quantum ESPRESSO input format:
```
&SYSTEM
  ibrav = 0, nat = 5, ntyp = 4
/
ATOMIC_SPECIES
Cs 132.91 Cs.upf
Sb 121.76 Sb.upf
As 74.92 As.upf
Br 79.90 Br.upf
ATOMIC_POSITIONS angstrom
Cs -4.2532 1.9141 -1.7943
Sb 0.0000 0.0000 0.0000
As -2.2734 0.0926 1.4426
Br -1.5332 -0.9850 -2.3530
Br -0.4466 2.8066 -0.8839
CELL_PARAMETERS angstrom
-0.8932 5.6132 -1.7678
-3.0664 -1.9700 -4.7060
-4.5467 0.1851 2.8852
```

=====

> Look up the DFT total energy of the first one.

-0.1092 hartree per atom